# 1
This record from Alexandria describes a relaxed structure of K4Np3USe8. The functional is PBE.

CIF file:
```
data_K4Np3USe8
_chemical_formula_sum 'K12 Np9 U3 Se24'
_symmetry_space_group_name_H-M 'R -3 m'
_symmetry_Int_Tables_number 166
_symmetry_space_group_name_Hall '-R 3 2"'
_cell_length_a 8.4929
_cell_length_b 8.4929
_cell_length_c 23.0968
_cell_angle_alpha 90.00
_cell_angle_beta 90.00
_cell_angle_gamma 120.00
loop_
_atom_site_label
_atom_site_type_symbol
_atom_site_fract_x
_atom_site_fract_y
_atom_site_fract_z
_atom_site_occupancy
K1 K 0.0000 0.0000 0.0000 1
K2 K 0.0000 0.5000 0.0000 1
Np1 Np 0.0000 0.5000 0.5000 1
U1 U 0.0000 0.0000 0.5000 1
Se1 Se 0.0000 0.0000 0.2355 1
Se2 Se 0.0023 0.5012 0.2355 1
```

# 2
This record from Alexandria describes a relaxed structure of K3Np2USe6. The functional is PBE.

CIF file:
```
data_K3Np2USe6
_chemical_formula_sum 'K6 Np4 U2 Se12'
_symmetry_space_group_name_H-M 'C 1 2/m 1'
_symmetry_Int_Tables_number 12
_cell_length_a 7.348
_cell_length_b 12.727
_cell_length_c 8.085
_cell_angle_alpha 90.00
_cell_angle_beta 107.64
_cell_angle_gamma 90.00
loop_
_symmetry_equiv_pos_as_xyz
'x,y,z'
'-x,-y,-z'
'-x,y,-z'
'x,-y,z'
'x+1/2,y+1/2,z'
'-x+1/2,-y+1/2,-z'
'-x+1/2,y+1/2,-z'
'x+1/2,-y+1/2,z'
loop_
_atom_site_label
_atom_site_type_symbol
_atom_site_fract_x
_atom_site_fract_y
_atom_site_fract_z
_atom_site_occupancy
K1 K 0.000 0.000 0.000 1
K2 K 0.000 0.333 0.000 1
Np1 Np 0.000 0.167 0.500 1
U1 U 0.000 0.500 0.500 1
Se1 Se 0.234 0.335 0.707 1
Se2 Se 0.238 0.000 0.707 1
```

# 3
This record from Alexandria describes a relaxed structure of K3Np3USe8. The functional is PBE.

CIF file:
```
data_K3Np3USe8
_chemical_formula_sum 'K9 Np9 U3 Se24'
_symmetry_space_group_name_H-M 'R -3 m'
_symmetry_Int_Tables_number 166
_symmetry_space_group_name_Hall '-R 3 2"'
_cell_length_a 8.4273
_cell_length_b 8.4273
_cell_length_c 23.3686
_cell_angle_alpha 90.00
_cell_angle_beta 90.00
_cell_angle_gamma 120.00
loop_
_atom_site_label
_atom_site_type_symbol
_atom_site_fract_x
_atom_site_fract_y
_atom_site_fract_z
_atom_site_occupancy
K1 K 0.0000 0.5000 0.0000 1
Np1 Np 0.0000 0.5000 0.5000 1
U1 U 0.0000 0.0000 0.5000 1
Se1 Se 0.0000 0.0000 0.2350 1
Se2 Se 0.0036 0.5018 0.2335 1
```

# 4
This record from Alexandria describes a relaxed structure of K2NpU2Se6. The functional is PBE.

CIF file:
```
data_K2NpU2Se6
_chemical_formula_sum 'K4 Np2 U4 Se12'
_symmetry_space_group_name_H-M 'C 1 2/m 1'
_symmetry_Int_Tables_number 12
_cell_length_a 7.236
_cell_length_b 12.548
_cell_length_c 8.227
_cell_angle_alpha 90.00
_cell_angle_beta 106.97
_cell_angle_gamma 90.00
loop_
_symmetry_equiv_pos_as_xyz
'x,y,z'
'-x,-y,-z'
'-x,y,-z'
'x,-y,z'
'x+1/2,y+1/2,z'
'-x+1/2,-y+1/2,-z'
'-x+1/2,y+1/2,-z'
'x+1/2,-y+1/2,z'
loop_
_atom_site_label
_atom_site_type_symbol
_atom_site_fract_x
_atom_site_fract_y
_atom_site_fract_z
_atom_site_occupancy
K1 K 0.000 0.166 0.000 1
Np1 Np 0.000 0.000 0.500 1
U1 U 0.000 0.334 0.500 1
Se1 Se 0.231 0.500 0.702 1
Se2 Se 0.235 0.169 0.701 1
```

# 5
This record from Alexandria describes a relaxed structure of K2Np2USe6. The functional is PBE.

CIF file:
```
data_K2Np2USe6
_chemical_formula_sum 'K4 Np4 U2 Se12'
_symmetry_space_group_name_H-M 'C 1 2/m 1'
_symmetry_Int_Tables_number 12
_cell_length_a 7.270
_cell_length_b 12.569
_cell_length_c 8.203
_cell_angle_alpha 90.00
_cell_angle_beta 107.22
_cell_angle_gamma 90.00
loop_
_symmetry_equiv_pos_as_xyz
'x,y,z'
'-x,-y,-z'
'-x,y,-z'
'x,-y,z'
'x+1/2,y+1/2,z'
'-x+1/2,-y+1/2,-z'
'-x+1/2,y+1/2,-z'
'x+1/2,-y+1/2,z'
loop_
_atom_site_label
_atom_site_type_symbol
_atom_site_fract_x
_atom_site_fract_y
_atom_site_fract_z
_atom_site_occupancy
K1 K 0.000 0.167 0.000 1
Np1 Np 0.000 0.334 0.500 1
U1 U 0.000 0.000 0.500 1
Se1 Se 0.232 0.165 0.701 1
Se2 Se 0.239 0.500 0.701 1
```

# 6
This record from Alexandria describes a relaxed structure of K2Np2VSe6. The functional is PBE.

CIF file:
```
data_K2Np2VSe6
_chemical_formula_sum 'K4 Np4 V2 Se12'
_symmetry_space_group_name_H-M 'C 1 2/m 1'
_symmetry_Int_Tables_number 12
_cell_length_a 6.975
_cell_length_b 11.951
_cell_length_c 8.239
_cell_angle_alpha 90.00
_cell_angle_beta 106.86
_cell_angle_gamma 90.00
loop_
_symmetry_equiv_pos_as_xyz
'x,y,z'
'-x,-y,-z'
'-x,y,-z'
'x,-y,z'
'x+1/2,y+1/2,z'
'-x+1/2,-y+1/2,-z'
'-x+1/2,y+1/2,-z'
'x+1/2,-y+1/2,z'
loop_
_atom_site_label
_atom_site_type_symbol
_atom_site_fract_x
_atom_site_fract_y
_atom_site_fract_z
_atom_site_occupancy
K1 K 0.000 0.171 0.000 1
Np1 Np 0.000 0.333 0.500 1
V1 V 0.000 0.000 0.500 1
Se1 Se 0.225 0.156 0.696 1
Se2 Se 0.244 0.000 0.306 1
```

# 7
This record from Alexandria describes a relaxed structure of K3Np2VSe6. The functional is PBE.

CIF file:
```
data_K3Np2VSe6
_chemical_formula_sum 'K6 Np4 V2 Se12'
_symmetry_space_group_name_H-M 'C 1 2/m 1'
_symmetry_Int_Tables_number 12
_cell_length_a 7.137
_cell_length_b 12.368
_cell_length_c 8.041
_cell_angle_alpha 90.00
_cell_angle_beta 107.28
_cell_angle_gamma 90.00
loop_
_symmetry_equiv_pos_as_xyz
'x,y,z'
'-x,-y,-z'
'-x,y,-z'
'x,-y,z'
'x+1/2,y+1/2,z'
'-x+1/2,-y+1/2,-z'
'-x+1/2,y+1/2,-z'
'x+1/2,-y+1/2,z'
loop_
_atom_site_label
_atom_site_type_symbol
_atom_site_fract_x
_atom_site_fract_y
_atom_site_fract_z
_atom_site_occupancy
K1 K 0.000 0.000 0.000 1
K2 K 0.000 0.331 0.000 1
Np1 Np 0.000 0.166 0.500 1
V1 V 0.000 0.500 0.500 1
Se1 Se 0.224 0.342 0.699 1
Se2 Se 0.249 0.500 0.300 1
```

# 8
This record from Alexandria describes a relaxed structure of K3Y2NpSe6. The functional is PBE.

CIF file:
```
data_K3Y2NpSe6
_chemical_formula_sum 'K6 Y4 Np2 Se12'
_symmetry_space_group_name_H-M 'C 1 2/m 1'
_symmetry_Int_Tables_number 12
_cell_length_a 7.360
_cell_length_b 12.724
_cell_length_c 8.062
_cell_angle_alpha 90.00
_cell_angle_beta 107.64
_cell_angle_gamma 90.00
loop_
_symmetry_equiv_pos_as_xyz
'x,y,z'
'-x,-y,-z'
'-x,y,-z'
'x,-y,z'
'x+1/2,y+1/2,z'
'-x+1/2,-y+1/2,-z'
'-x+1/2,y+1/2,-z'
'x+1/2,-y+1/2,z'
loop_
_atom_site_label
_atom_site_type_symbol
_atom_site_fract_x
_atom_site_fract_y
_atom_site_fract_z
_atom_site_occupancy
K1 K 0.000 0.000 0.000 1
K2 K 0.000 0.333 0.000 1
Y1 Y 0.000 0.166 0.500 1
Np1 Np 0.000 0.500 0.500 1
Se1 Se 0.232 0.000 0.707 1
Se2 Se 0.237 0.332 0.706 1
```

# 9
This record from Alexandria describes a relaxed structure of K2Y2NpSe6. The functional is PBE.

CIF file:
```
data_K2Y2NpSe6
_chemical_formula_sum 'K4 Y4 Np2 Se12'
_symmetry_space_group_name_H-M 'C 1 2/m 1'
_symmetry_Int_Tables_number 12
_cell_length_a 7.227
_cell_length_b 12.495
_cell_length_c 8.223
_cell_angle_alpha 90.00
_cell_angle_beta 107.29
_cell_angle_gamma 90.00
loop_
_symmetry_equiv_pos_as_xyz
'x,y,z'
'-x,-y,-z'
'-x,y,-z'
'x,-y,z'
'x+1/2,y+1/2,z'
'-x+1/2,-y+1/2,-z'
'-x+1/2,y+1/2,-z'
'x+1/2,-y+1/2,z'
loop_
_atom_site_label
_atom_site_type_symbol
_atom_site_fract_x
_atom_site_fract_y
_atom_site_fract_z
_atom_site_occupancy
K1 K 0.000 0.168 0.000 1
Y1 Y 0.000 0.333 0.500 1
Np1 Np 0.000 0.000 0.500 1
Se1 Se 0.232 0.165 0.701 1
Se2 Se 0.240 0.500 0.700 1
```

# 10
This record from Alexandria describes a relaxed structure of K4Y3NpSe8. The functional is PBE.

CIF file:
```
data_K4Y3NpSe8
_chemical_formula_sum 'K12 Y9 Np3 Se24'
_symmetry_space_group_name_H-M 'R -3 m'
_symmetry_Int_Tables_number 166
_symmetry_space_group_name_Hall '-R 3 2"'
_cell_length_a 8.4744
_cell_length_b 8.4744
_cell_length_c 23.0440
_cell_angle_alpha 90.00
_cell_angle_beta 90.00
_cell_angle_gamma 120.00
loop_
_atom_site_label
_atom_site_type_symbol
_atom_site_fract_x
_atom_site_fract_y
_atom_site_fract_z
_atom_site_occupancy
K1 K 0.0000 0.0000 0.0000 1
K2 K 0.0000 0.5000 0.0000 1
Y1 Y 0.0000 0.5000 0.5000 1
Np1 Np 0.0000 0.0000 0.5000 1
Se1 Se 0.0000 0.0000 0.2352 1
Se2 Se 0.0032 0.5016 0.7647 1
```

DFT total energy values, unit eV/atom, following the record order: -6.4070 -6.3701 -6.6760 -6.5803 -6.7328 -6.3918 -6.0710 -5.7624 -6.0342 -5.6724.
Spin magnetization values, unit μB per formula unit, following the record order: 15.0 11.0 14.0 9.0 10.0 9.0 10.0 4.0 3.0 4.0.